<i>
Below is an optimized crystal structure of HfRe3F, with properties calculated at the PBE-GGA level.

Computed properties:
* ρ: 16.14 Mg/m³

Lattice parameters (Å, degrees): 4.269 4.269 4.269 90.00 90.00 90.00
Element x y z (fractional)
Hf1 0.500 0.500 0.500
Re1 0.000 0.500 0.000
Re2 0.500 0.000 0.000
Re3 0.000 0.000 0.500
F1 0.000 0.000 0.000

***

<ii>
Below is an optimized crystal structure of HfRe3F, with properties calculated at the PBE-GGA level.

Computed properties:
* ρ: 11.07 Mg/m³

Lattice parameters (Å, degrees): 4.840 4.840 4.840 90.00 90.00 90.00
Site moments in Bohr magnetons follow the coordinates.
Element x y z (fractional)
Re1 0.000 0.500 0.000  0.84
Re2 0.500 0.000 0.000  1.07
Re3 0.000 0.000 0.500  0.77
Hf1 0.000 0.000 0.000  -0.04
F1 0.500 0.500 0.500  0.27

***

The structure with the least stability is <ii>.

***

<i>
Below is an optimized crystal structure of Hf2ReF2, with properties calculated at the PBE-GGA level.

Computed properties:
* ρ: 13.52 Mg/m³

Lattice parameters (Å, degrees): 3.316 3.316 6.901 76.10 76.10 90.00
Element x y z (fractional)
Hf1 0.377 0.377 0.247
Hf2 0.623 0.623 0.753
F1 0.250 0.750 0.500
F2 0.750 0.250 0.500
Re1 0.000 0.000 0.000

***

<ii>
Below is an optimized crystal structure of Hf2ReF2, with properties calculated at the PBE-GGA level.

Computed properties:
* ρ: 11.55 Mg/m³

Lattice parameters (Å, degrees): 7.752 7.752 2.781 90.00 90.00 90.00
Element x y z (fractional)
Re1 0.500 0.500 0.000
Re2 0.000 0.000 0.000
Hf1 0.746 0.246 0.000
Hf2 0.246 0.254 0.000
Hf3 0.254 0.754 0.000
Hf4 0.754 0.746 0.000
F1 0.397 0.103 0.500
F2 0.897 0.397 0.500
F3 0.103 0.603 0.500
F4 0.603 0.897 0.500

***

The structure with the least stability is <ii>.

***

<i>
Below is an optimized crystal structure of Hf2ReF, with properties calculated at the PBE-GGA level.

Computed properties:
* ρ: 13.67 Mg/m³

Lattice parameters (Å, degrees): 4.588 4.588 4.588 60.00 60.00 60.00
Element x y z (fractional)
Re1 0.500 0.500 0.500
Hf1 0.250 0.250 0.250
Hf2 0.750 0.750 0.750
F1 0.000 0.000 0.000

***

<ii>
Below is an optimized crystal structure of Hf2ReF, with properties calculated at the PBE-GGA level.

Computed properties:
* ρ: 13.44 Mg/m³

Lattice parameters (Å, degrees): 6.509 6.509 5.650 54.83 54.83 90.00
Element x y z (fractional)
Hf1 0.566 0.125 0.250
Hf2 0.875 0.816 0.750
Hf3 0.375 0.434 0.750
Hf4 0.184 0.625 0.250
F1 0.500 0.500 0.000
F2 0.250 0.750 0.500
Re1 0.000 0.000 0.000
Re2 0.750 0.250 0.500

***

The structure with the least stability is <i>.

***

<i>
Below is an optimized crystal structure of Hf2RhF, with properties calculated at the PBE-GGA level.

Computed properties:
* ρ: 11.85 Mg/m³

Lattice parameters (Å, degrees): 4.561 4.561 4.561 60.00 60.00 60.00
Element x y z (fractional)
Hf1 0.250 0.250 0.250
Hf2 0.750 0.750 0.750
Rh1 0.500 0.500 0.500
F1 0.000 0.000 0.000

***

<ii>
Below is an optimized crystal structure of Hf2RhF, with properties calculated at the PBE-GGA level.

Computed properties:
* ρ: 9.98 Mg/m³

Lattice parameters (Å, degrees): 5.159 5.159 7.010 68.41 68.41 90.00
Element x y z (fractional)
Rh1 0.750 0.250 0.500
Rh2 0.000 0.000 0.000
Hf1 0.875 0.824 0.750
Hf2 0.375 0.426 0.750
Hf3 0.574 0.125 0.250
Hf4 0.176 0.625 0.250
F1 0.250 0.750 0.500
F2 0.500 0.500 0.000

***

The structure with the least stability is <ii>.

***

<i>
Below is an optimized crystal structure of HfRhF3, with properties calculated at the PBE-GGA level.

Computed properties:
* ρ: 7.75 Mg/m³

Lattice parameters (Å, degrees): 4.169 4.169 4.169 90.00 90.00 90.00
Site moments in Bohr magnetons follow the coordinates.
Element x y z (fractional)
F1 0.000 0.000 0.500  0.00
F2 0.000 0.500 0.000  0.00
F3 0.500 0.000 0.000  0.00
Hf1 0.000 0.000 0.000  -0.08
Rh1 0.500 0.500 0.500  0.44

***

<ii>
Below is an optimized crystal structure of HfRhF3, with properties calculated at the PBE-GGA level.

Computed properties:
* ρ: 7.33 Mg/m³

Lattice parameters (Å, degrees): 4.248 4.248 4.248 90.00 90.00 90.00
Element x y z (fractional)
F1 0.500 0.000 0.000
F2 0.000 0.500 0.000
F3 0.000 0.000 0.500
Rh1 0.000 0.000 0.000
Hf1 0.500 0.500 0.500

***

The structure with the least stability is <ii>.

***

<i>
Below is an optimized crystal structure of HfRu2F, with properties calculated at the PBE-GGA level.

Computed properties:
* ρ: 11.03 Mg/m³

Lattice parameters (Å, degrees): 4.398 4.398 4.398 60.00 60.00 60.00
Site moments in Bohr magnetons follow the coordinates.
Element x y z (fractional)
Ru1 0.750 0.750 0.750  0.38
Ru2 0.250 0.250 0.250  0.38
F1 0.000 0.000 0.000  0.04
Hf1 0.500 0.500 0.500  -0.05

***

<ii>
Below is an optimized crystal structure of HfRu2F, with properties calculated at the PBE-GGA level.

Computed properties:
* ρ: 10.73 Mg/m³

Lattice parameters (Å, degrees): 7.350 7.350 5.679 49.68 49.68 90.00
Element x y z (fractional)
Ru1 0.375 0.430 0.750
Ru2 0.570 0.125 0.250
Ru3 0.875 0.820 0.750
Ru4 0.180 0.625 0.250
Hf1 0.000 0.000 0.000
Hf2 0.750 0.250 0.500
F1 0.250 0.750 0.500
F2 0.500 0.500 0.000

***

The structure with the least stability is <i>.

***

<i>
Below is an optimized crystal structure of HfRuF2, with properties calculated at the PBE-GGA level.

Computed properties:
* ρ: 8.24 Mg/m³

Lattice parameters (Å, degrees): 9.460 9.460 9.460 17.12 17.12 17.12
Site moments in Bohr magnetons follow the coordinates.
Element x y z (fractional)
F1 0.888 0.888 0.888  0.01
F2 0.112 0.112 0.112  0.01
Hf1 0.500 0.500 0.500  -0.02
Ru1 0.000 0.000 0.000  1.93

***

<ii>
Below is an optimized crystal structure of HfRuF2, with properties calculated at the PBE-GGA level.

Computed properties:
* ρ: 8.90 Mg/m³

Lattice parameters (Å, degrees): 4.518 4.518 4.518 56.05 56.05 56.05
Site moments in Bohr magnetons follow the coordinates.
Element x y z (fractional)
F1 0.821 0.821 0.821  0.06
F2 0.179 0.179 0.179  0.06
Ru1 0.500 0.500 0.500  1.50
Hf1 0.000 0.000 0.000  -0.14

***

The structure with the least stability is <ii>.

***

<i>
Below is an optimized crystal structure of HfRuF2, with properties calculated at the PBE-GGA level.

Computed properties:
* ρ: 9.66 Mg/m³

Lattice parameters (Å, degrees): 3.760 3.760 8.166 76.69 76.69 90.00
Element x y z (fractional)
F1 0.091 0.625 0.250
F2 0.659 0.125 0.250
F3 0.375 0.341 0.750
F4 0.875 0.909 0.750
Ru1 0.250 0.750 0.500
Ru2 0.500 0.500 0.000
Hf1 0.750 0.250 0.500
Hf2 0.000 0.000 0.000

***

<ii>
Below is an optimized crystal structure of HfRuF2, with properties calculated at the PBE-GGA level.

Computed properties:
* ρ: 9.82 Mg/m³

Lattice parameters (Å, degrees): 4.235 4.235 4.235 60.00 60.00 60.00
Site moments in Bohr magnetons follow the coordinates.
Element x y z (fractional)
Hf1 0.500 0.500 0.500  -0.09
F1 0.250 0.250 0.250  0.09
F2 0.750 0.750 0.750  0.09
Ru1 0.000 0.000 0.000  1.61

***

The structure with the least stability is <ii>.

***

<i>
Below is an optimized crystal structure of Hf2SF, with properties calculated at the PBE-GGA level.

Computed properties:
* ρ: 10.33 Mg/m³

Lattice parameters (Å, degrees): 6.532 6.532 5.549 53.94 53.94 90.00
Element x y z (fractional)
F1 0.250 0.750 0.500
F2 0.500 0.500 0.000
Hf1 0.173 0.625 0.250
Hf2 0.577 0.125 0.250
Hf3 0.375 0.423 0.750
Hf4 0.875 0.827 0.750
S1 0.000 0.000 0.000
S2 0.750 0.250 0.500

***

<ii>
Below is an optimized crystal structure of Hf2SF, with properties calculated at the PBE-GGA level.

Computed properties:
* ρ: 11.24 Mg/m³

Lattice parameters (Å, degrees): 4.401 4.401 4.401 60.00 60.00 60.00
Element x y z (fractional)
S1 0.500 0.500 0.500
F1 0.000 0.000 0.000
Hf1 0.750 0.750 0.750
Hf2 0.250 0.250 0.250

***

The structure with the least stability is <ii>.

***

<i>
Below is an optimized crystal structure of HfSbF2, with properties calculated at the PBE-GGA level.

Computed properties:
* ρ: 6.70 Mg/m³

Lattice parameters (Å, degrees): 10.783 10.783 10.783 16.08 16.08 16.08
Element x y z (fractional)
Hf1 0.500 0.500 0.500
Sb1 0.000 0.000 0.000
F1 0.880 0.880 0.880
F2 0.120 0.120 0.120

***

<ii>
Below is an optimized crystal structure of HfSbF2, with properties calculated at the PBE-GGA level.

Computed properties:
* ρ: 7.77 Mg/m³

Lattice parameters (Å, degrees): 4.524 4.524 7.749 73.03 73.03 90.00
Element x y z (fractional)
F1 0.915 0.625 0.250
F2 0.835 0.125 0.250
F3 0.375 0.165 0.750
F4 0.875 0.085 0.750
Sb1 0.250 0.750 0.500
Sb2 0.500 0.500 0.000
Hf1 0.000 0.000 0.000
Hf2 0.750 0.250 0.500

***

<iii>
Below is an optimized crystal structure of HfSbF2, with properties calculated at the PBE-GGA level.

Computed properties:
* ρ: 8.88 Mg/m³

Lattice parameters (Å, degrees): 4.472 4.472 4.472 60.00 60.00 60.00
Element x y z (fractional)
F1 0.250 0.250 0.250
F2 0.750 0.750 0.750
Sb1 0.000 0.000 0.000
Hf1 0.500 0.500 0.500

***

The structure with the least stability is <iii>.

***

<i>
Below is an optimized crystal structure of HfSb3F, with properties calculated at the PBE-GGA level.

Computed properties:
* ρ: 8.21 Mg/m³

Lattice parameters (Å, degrees): 4.846 4.846 4.846 90.00 90.00 90.00
Element x y z (fractional)
F1 0.000 0.000 0.000
Sb1 0.000 0.500 0.000
Sb2 0.000 0.000 0.500
Sb3 0.500 0.000 0.000
Hf1 0.500 0.500 0.500

***

<ii>
Below is an optimized crystal structure of HfSb3F, with properties calculated at the PBE-GGA level.

Computed properties:
* ρ: 5.84 Mg/m³

Lattice parameters (Å, degrees): 5.430 5.430 5.430 90.00 90.00 90.00
Element x y z (fractional)
Sb1 0.000 0.000 0.500
Sb2 0.500 0.000 0.000
Sb3 0.000 0.500 0.000
F1 0.500 0.500 0.500
Hf1 0.000 0.000 0.000

***

The structure with the least stability is <ii>.

***

<i>
Below is an optimized crystal structure of Hf3ScF, with properties calculated at the PBE-GGA level.

Computed properties:
* ρ: 7.67 Mg/m³

Lattice parameters (Å, degrees): 5.063 5.063 5.063 90.00 90.00 90.00
Element x y z (fractional)
Hf1 0.000 0.000 0.500
Hf2 0.000 0.500 0.000
Hf3 0.500 0.000 0.000
F1 0.500 0.500 0.500
Sc1 0.000 0.000 0.000

***

<ii>
Below is an optimized crystal structure of Hf3ScF, with properties calculated at the PBE-GGA level.

Computed properties:
* ρ: 10.20 Mg/m³

Lattice parameters (Å, degrees): 4.604 4.604 4.604 90.00 90.00 90.00
Element x y z (fractional)
Hf1 0.500 0.000 0.000
Hf2 0.000 0.000 0.500
Hf3 0.000 0.500 0.000
F1 0.000 0.000 0.000
Sc1 0.500 0.500 0.500

***

The structure with the least stability is <i>.